A plane-wave DFT calculation with PBE was carried out for crystalline In12Te5Cl3 at its relaxed geometry.

Unit cell a=16.048 b=16.048 c=16.048 alpha=109.47 beta=109.47 gamma=109.47
Fractional positions:
Cl  0.750  0.375  0.125
Cl  0.875  0.750  0.125
Cl  0.375  0.750  0.625
Cl  0.250  0.125  0.375
Cl  0.875  0.125  0.250
Cl  0.375  0.625  0.250
Cl  0.625  0.375  0.750
Cl  0.125  0.875  0.750
Cl  0.750  0.875  0.625
Cl  0.625  0.250  0.375
Cl  0.125  0.250  0.875
Cl  0.250  0.625  0.875
Te  0.125  0.375  0.250
Te  0.000  0.500  0.000
Te  0.000  0.000  0.000
Te  0.375  0.250  0.125
Te  0.500  0.000  0.500
Te  0.500  0.500  0.000
Te  0.125  0.750  0.375
Te  0.750  0.125  0.875
Te  0.750  0.625  0.375
Te  0.375  0.125  0.750
Te  0.625  0.875  0.250
Te  0.500  0.500  0.500
Te  0.500  0.000  0.000
Te  0.000  0.000  0.500
Te  0.250  0.375  0.625
Te  0.250  0.875  0.125
Te  0.000  0.500  0.500
Te  0.875  0.250  0.625
Te  0.625  0.750  0.875
Te  0.875  0.625  0.750
In  0.730  0.154  0.066
In  0.336  0.566  0.412
In  0.934  0.346  0.270
In  0.566  0.230  0.154
In  0.576  0.730  0.664
In  0.934  0.588  0.164
In  0.336  0.770  0.424
In  0.088  0.924  0.154
In  0.588  0.934  0.664
In  0.730  0.576  0.164
In  0.770  0.434  0.346
In  0.836  0.912  0.066
In  0.154  0.730  0.566
In  0.346  0.412  0.076
In  0.076  0.912  0.346
In  0.424  0.154  0.588
In  0.076  0.164  0.230
In  0.434  0.664  0.088
In  0.836  0.924  0.270
In  0.154  0.424  0.088
In  0.346  0.934  0.770
In  0.588  0.654  0.424
In  0.912  0.836  0.566
In  0.770  0.336  0.924
In  0.412  0.346  0.576
In  0.088  0.164  0.434
In  0.230  0.664  0.076
In  0.164  0.076  0.730
In  0.654  0.066  0.230
In  0.846  0.576  0.912
In  0.566  0.336  0.912
In  0.576  0.846  0.412
In  0.924  0.836  0.770
In  0.924  0.088  0.654
In  0.846  0.270  0.434
In  0.164  0.088  0.934
In  0.654  0.588  0.924
In  0.412  0.066  0.336
In  0.270  0.424  0.836
In  0.230  0.566  0.654
In  0.912  0.076  0.846
In  0.664  0.230  0.576
In  0.434  0.770  0.846
In  0.066  0.412  0.836
In  0.424  0.270  0.336
In  0.066  0.654  0.730
In  0.664  0.434  0.588
In  0.270  0.846  0.934


A plane-wave DFT calculation with PBE was carried out for crystalline InTeCl2 at its relaxed geometry.

Unit cell a=4.707 b=4.694 c=5.241 alpha=90.00 beta=90.00 gamma=90.00
Fractional positions:
Cl  0.000  0.000  0.125
Cl  0.500  0.500  0.125
Te  0.500  0.500  0.625
In  0.000  0.000  0.625


A plane-wave DFT calculation with PBE was carried out for crystalline In4TeCl at its relaxed geometry.

Unit cell a=6.316 b=6.316 c=6.316 alpha=60.00 beta=60.00 gamma=60.00
Fractional positions:
In  0.873  0.376  0.376
In  0.376  0.376  0.873
In  0.376  0.873  0.376
In  0.376  0.376  0.376
Te  0.750  0.750  0.750
Cl  0.000  0.000  0.000


no.,E_form (uncorrected) (meV per atom)
1,-225
2,-417
3,-104